DFT (PBE-GGA) results for a relaxed CsLiSmTe2 crystal.

a = 6.845 Å, b = 16.658 Å, c = 7.071 Å
α = 90.00°, β = 90.00°, γ = 90.00°
Space group Cmme (No. 67)
Symmetry-distinct sites (fractional):
Cs  0.000  0.250  0.240 (multiplicity 4)
Li  0.000  0.000  0.000 (multiplicity 4)
Sm  0.250  0.000  0.500 (multiplicity 4)
Te  0.000  0.116  0.743 (multiplicity 8)

## Properties
- Raw formation energy: -0.984 eV/atom
- Energy: -74.7 eV/cell
- Density: 4493 kg/m³